Record 1
## AcTbNi (GGA-PBE)

Data for an optimized crystal structure of AcTbNi.

- uncorrected energy (eV per formula unit) = -14.6
- E_form (eV per atom) = -0.018
- crystal system = cubic
- E above lowest polymorph (eV per atom) = 0.147

Geometry as CIF:
```
data_AcTbNi
_space_group_name_H-M_alt 'P 1'
_space_group_IT_number 1
_cell_length_a 4.9998
_cell_length_b 4.9998
_cell_length_c 4.9998
_cell_angle_alpha 60.00
_cell_angle_beta 60.00
_cell_angle_gamma 60.00
loop_
_space_group_symop_operation_xyz
'x,y,z'
loop_
_atom_site_label
_atom_site_type_symbol
_atom_site_fract_x
_atom_site_fract_y
_atom_site_fract_z
Ni1 Ni 0.2500 0.2500 0.2500
Tb1 Tb 0.5000 0.5000 0.5000
Ac1 Ac 0.0000 0.0000 0.0000
```

***

Record 2
## Y2CuHg3 (GGA-PBE)

Data for an optimized crystal structure of Y2CuHg3.

- uncorrected energy (eV per formula unit) = -20.1
- E_form (eV per atom) = -0.366
- crystal system = orthorhombic

Geometry as CIF:
```
data_Y2CuHg3
_space_group_name_H-M_alt 'P 1'
_space_group_IT_number 1
_cell_length_a 3.5091
_cell_length_b 4.7531
_cell_length_c 8.3240
_cell_angle_alpha 90.00
_cell_angle_beta 90.00
_cell_angle_gamma 90.00
loop_
_space_group_symop_operation_xyz
'x,y,z'
loop_
_atom_site_label
_atom_site_type_symbol
_atom_site_fract_x
_atom_site_fract_y
_atom_site_fract_z
Hg1 Hg 0.5000 0.5000 0.6467
Hg2 Hg 0.5000 0.0000 0.8363
Hg3 Hg 0.5000 0.0000 0.1806
Y1 Y 0.0000 0.5000 0.0182
Y2 Y 0.0000 0.0000 0.4902
Cu1 Cu 0.5000 0.5000 0.3279
```